Below is a relaxed structure of Hf3NbH, with properties calculated at the PBE-GGA level.

Computed properties:
For the density of states at the Fermi level, the calculation gives 7.2 states/eV/cell.

Unit cell a=4.432 b=4.432 c=4.432 alpha=90.00 beta=90.00 gamma=90.00
Space group Pm-3m (No. 221)
Symmetry-distinct sites (fractional):
1 Hf 0.000 0.000 0.500 [3 per cell]
2 Nb 0.500 0.500 0.500 [1 per cell]
3 H 0.000 0.000 0.000 [1 per cell]

Below is a relaxed structure of LaCoBr2, with properties calculated at the PBE-GGA level.

Computed properties:
For the density of states at the Fermi level, the calculation gives 5.7 states/eV/cell. The calculation puts the energy relative to the elements, uncorrected at -1.22 eV/f.u.

Unit cell a=3.712 b=6.690 c=8.391 alpha=90.00 beta=90.00 gamma=90.00
Space group Cmmm (No. 65)
Symmetry-distinct sites (fractional):
1 La 0.000 0.000 0.000 [2 per cell]
2 Co 0.000 0.000 0.500 [2 per cell]
3 Br 0.000 0.500 0.298 [4 per cell]

Below is a relaxed structure of NpHg2As, with properties calculated at the PBE-GGA level.

Computed properties:
For the density of states at the Fermi level, the calculation gives 10.2 states/eV/cell. As for the energy of formation: -0.116 eV per atom.

Unit cell a=3.994 b=4.347 c=6.019 alpha=110.95 beta=100.49 gamma=90.04
Space group P-1 (No. 2)
Symmetry-distinct sites (fractional):
1 Np 0.000 0.000 0.000 [1 per cell]
2 Hg 0.243 0.734 0.469 [2 per cell]
3 As 0.500 0.500 0.000 [1 per cell]

Below is a relaxed structure of BaBeAl, with properties calculated at the PBE-GGA level.

Computed properties:
For the density of states at the Fermi level, the calculation gives 18.9 states/eV/cell. As for the energy of formation: 0.468 eV per atom.

Unit cell a=6.935 b=6.935 c=6.935 alpha=90.00 beta=90.00 gamma=90.00
Space group F-43m (No. 216)
Symmetry-distinct sites (fractional):
1 Ba 0.000 0.000 0.000 [4 per cell]
2 Be 0.250 0.250 0.250 [4 per cell]
3 Al 0.000 0.000 0.500 [4 per cell]

Below is a relaxed structure of Pm8Pr2Th, with properties calculated at the PBE-GGA level.

Computed properties:
For the density of states at the Fermi level, the calculation gives 33.7 states/eV/cell. As for the energy of formation: 0.027 eV per atom.

Unit cell a=18.640 b=5.166 c=8.184 alpha=90.00 beta=105.15 gamma=90.00
Space group C2/m (No. 12)
Symmetry-distinct sites (fractional):
1 Pm 0.044 0.000 0.234 [4 per cell]
2 Pm 0.090 0.500 0.950 [4 per cell]
3 Pm 0.133 0.000 0.676 [4 per cell]
4 Pm 0.179 0.500 0.408 [4 per cell]
5 Pr 0.228 0.000 0.137 [4 per cell]
6 Th 0.000 0.500 0.500 [2 per cell]

Below is a relaxed structure of CeLuCdIr, with properties calculated at the PBE-GGA level.

Computed properties:
For the density of states at the Fermi level, the calculation gives 25.8 states/eV/cell. As for the energy of formation: -0.445 eV per atom.

Unit cell a=7.146 b=7.146 c=7.146 alpha=90.00 beta=90.00 gamma=90.00
Space group F-43m (No. 216)
Symmetry-distinct sites (fractional):
1 Ce 0.000 0.000 0.000 [4 per cell]
2 Lu 0.000 0.000 0.500 [4 per cell]
3 Cd 0.250 0.250 0.250 [4 per cell]
4 Ir 0.250 0.250 0.750 [4 per cell]

Number 1: calculated density 12008 kg/m³, E -43.3 eV for the cell shown, total moment 0.00 μB per cell. Number 2: calculated density 5700 kg/m³, E -33.2 eV for the cell shown, total moment 3.48 μB per cell. Number 3: calculated density 12373 kg/m³, E -18.7 eV for the cell shown, total moment 4.02 μB per cell. Number 4: calculated density 3452 kg/m³, E -31.9 eV for the cell shown, total moment 0.01 μB per cell. Number 5: calculated density 7307 kg/m³, E -109.4 eV for the cell shown, total moment 0.00 μB per cell. Number 6: calculated density 11279 kg/m³, E -88.1 eV for the cell shown, total moment 3.09 μB per cell.